AcCu2F11 | PBE | optimized geometry

```
28
Lattice="-4.575 4.582 5.304 4.575 -4.582 5.304 4.575 4.582 -5.304" Properties=species:S:1:pos:R:3 pbc="T T T"
Ac 0.000 0.000 2.652
Ac 0.000 0.000 7.956
Cu 6.435 1.863 0.000
Cu 1.860 2.720 0.000
Cu 2.716 1.863 5.304
Cu -1.860 2.720 5.304
F 4.575 0.000 0.000
F 1.865 -0.912 1.284
F 5.488 -2.717 4.019
F 3.327 1.253 0.000
F 5.488 2.717 -1.284
F 7.286 0.912 1.284
F 2.710 3.670 -1.284
F 0.913 1.866 1.284
F 3.327 -1.253 5.304
F 5.488 2.717 1.284
F 1.865 0.912 4.020
F 0.000 4.582 0.000
F 2.710 3.670 1.284
F -0.913 1.866 4.019
F 1.248 5.835 0.000
F 3.662 2.717 4.019
F 1.865 0.912 6.587
F -2.710 3.670 4.020
F -0.913 1.866 6.588
F 1.248 3.330 5.304
F -0.913 7.299 1.284
F 2.710 5.495 4.020
```

Output
- raw formation energy (eV per formula unit) = -26.6
- total magnetization (Bohr magnetons per cell) = 1.79
- volume (Å³/cell) = 445
- total energy (eV/atom) = -4.25



AcCuF6 | PBE | optimized geometry

```
8
Lattice="3.616 2.088 2.314 -3.616 2.088 2.314 0.000 -4.175 2.314" Properties=species:S:1:pos:R:3 pbc="T T T"
Ac 0.000 0.000 0.000
Cu 0.000 0.000 3.471
F 0.000 -1.490 2.265
F -1.291 0.745 2.265
F -1.291 -0.745 4.678
F 1.291 0.745 2.265
F 1.291 -0.745 4.678
F 0.000 1.490 4.678
```

Output
- raw formation energy (eV per formula unit) = -22.2
- total magnetization (Bohr magnetons per cell) = 2.00
- volume (Å³/cell) = 105
- total energy (eV/atom) = -5.20